Computed, not measured: crystalline Cs at its relaxed geometry at the PBEsol level of DFT.

a = 5.0030 Å, b = 5.0030 Å, c = 9.7095 Å
α = 104.93°, β = 104.93°, γ = 90.00°
Element x y z (fractional)
Cs: 0.7500 0.2500 0.5000
Cs: 0.5000 0.5000 0.0000

Computed properties:
distance to the lowest polymorph of the same formula: 56.4 meV/atom
energy relative to the elements: 0.06 eV per formula unit
DOS(E_F): 1.110 states/eV per atom

=====

Computed, not measured: crystalline LiScPt2 at its relaxed geometry at the PBEsol level of DFT.

a = 3.8303 Å, b = 3.8303 Å, c = 4.9589 Å
α = 112.72°, β = 112.72°, γ = 90.00°
Element x y z (fractional)
Pt: 0.5000 0.5000 0.0000
Pt: 0.2500 0.7500 0.5000
Sc: 0.0000 0.0000 0.0000
Li: 0.7500 0.2500 0.5000

Computed properties:
distance to the lowest polymorph of the same formula: 94.7 meV/atom
energy relative to the elements: -3.46 eV per formula unit
DOS(E_F): 0.393 states/eV per atom

=====

Computed, not measured: crystalline V3FeCu2P6O24 at its relaxed geometry at the PBEsol level of DFT.

a = 8.4177 Å, b = 8.4177 Å, c = 8.4177 Å
α = 60.60°, β = 60.60°, γ = 60.60°
Last column: magnetic moment on the atom in μB.
Element x y z (fractional)
O: 0.7387 0.9457 0.0816  -0.02
O: 0.1248 0.3096 0.4996  0.00
O: 0.3820 0.9900 0.1911  0.11
O: 0.9900 0.1911 0.3820  0.11
O: 0.5687 0.7610 0.4132  -0.01
O: 0.8796 0.6742 0.5136  -0.01
O: 0.0005 0.8062 0.6273  -0.02
O: 0.9457 0.0816 0.7387  -0.02
O: 0.8062 0.6273 0.0005  -0.02
O: 0.5136 0.8796 0.6742  -0.01
O: 0.1911 0.3820 0.9900  0.11
O: 0.3096 0.4996 0.1248  0.00
O: 0.4996 0.1248 0.3096  0.00
O: 0.0816 0.7387 0.9457  -0.02
O: 0.6273 0.0005 0.8062  -0.02
O: 0.6742 0.5136 0.8796  -0.01
O: 0.4132 0.5687 0.7610  -0.01
O: 0.0447 0.9125 0.2682  0.05
O: 0.7610 0.4132 0.5687  -0.01
O: 0.9125 0.2682 0.0447  0.05
O: 0.2682 0.0447 0.9125  0.05
O: 0.4420 0.2380 0.5835  -0.02
O: 0.2380 0.5835 0.4420  -0.02
O: 0.5835 0.4420 0.2380  -0.02
V: 0.3595 0.3595 0.3595  0.92
V: 0.8596 0.8596 0.8596  0.97
V: 0.6415 0.6415 0.6415  0.80
P: 0.9592 0.2485 0.5419  0.01
P: 0.4610 0.0399 0.7481  0.01
P: 0.0399 0.7481 0.4610  0.01
P: 0.2485 0.5419 0.9592  0.01
P: 0.5419 0.9592 0.2485  0.01
P: 0.7481 0.4610 0.0399  0.01
Cu: 0.5011 0.5011 0.5011  -0.22
Cu: 0.0017 0.0017 0.0017  -0.25
Fe: 0.1415 0.1415 0.1415  4.03

Computed properties:
ΔE_f (raw): -1.993 eV per atom
DOS(E_F): 0.448 states/eV per atom

=====

Computed, not measured: crystalline Pr2BC at its relaxed geometry at the PBEsol level of DFT.

a = 3.6346 Å, b = 6.9024 Å, c = 7.3982 Å
α = 83.48°, β = 75.78°, γ = 74.74°
Element x y z (fractional)
C: 0.1274 0.0485 0.6967
C: 0.8726 0.9515 0.3033
B: 0.0751 0.9572 0.8926
B: 0.9249 0.0428 0.1074
Pr: 0.4414 0.2580 0.8592
Pr: 0.7917 0.7954 0.6211
Pr: 0.2083 0.2046 0.3789
Pr: 0.5586 0.7420 0.1408

Computed properties:
energy relative to the elements: -1.14 eV per formula unit
DOS(E_F): 0.698 states/eV per atom

=====

Computed, not measured: crystalline ScHSCl2 at its relaxed geometry at the PBEsol level of DFT.

a = 3.3812 Å, b = 4.7304 Å, c = 4.7304 Å
α = 90.00°, β = 90.00°, γ = 90.00°
Last column: magnetic moment on the atom in μB.
Element x y z (fractional)
Cl: 0.0000 0.5000 0.0000  0.00
Cl: 0.0000 0.0000 0.5000  0.00
H: 0.0000 0.0000 0.0000  0.00
Sc: 0.5000 0.5000 0.5000  0.09
S: 0.5000 0.0000 0.0000  0.00

Computed properties:
distance to the lowest polymorph of the same formula: 172.2 meV/atom
DOS(E_F): 0.557 states/eV per atom

=====

Computed, not measured: crystalline AgCl2 at its relaxed geometry at the PBEsol level of DFT.

a = 3.5647 Å, b = 6.1100 Å, c = 6.8478 Å
α = 90.00°, β = 90.00°, γ = 106.96°
Element x y z (fractional)
Ag: 0.4125 0.8249 0.2500
Ag: 0.5875 0.1751 0.7500
Cl: 0.0534 0.1068 0.2500
Cl: 0.2265 0.4531 0.7500
Cl: 0.7735 0.5469 0.2500
Cl: 0.9466 0.8932 0.7500

Computed properties:
ΔE_f (raw): -0.290 eV per atom
DOS(E_F): 0.882 states/eV per atom

=====

Computed, not measured: crystalline Tl2ZnSi at its relaxed geometry at the PBEsol level of DFT.

a = 3.5999 Å, b = 4.3424 Å, c = 6.5289 Å
α = 102.99°, β = 90.00°, γ = 114.49°
Element x y z (fractional)
Si: 0.0000 0.0000 0.5000
Tl: 0.2490 0.4980 0.2526
Tl: 0.7510 0.5020 0.7474
Zn: 0.5000 0.0000 0.0000

Computed properties:
ΔE_f (raw): 0.392 eV per atom
distance to the lowest polymorph of the same formula: 145.4 meV/atom
DOS(E_F): 0.386 states/eV per atom

=====

Computed, not measured: crystalline Nd2Re3Si5 at its relaxed geometry at the PBEsol level of DFT.

a = 5.6247 Å, b = 10.9638 Å, c = 10.9638 Å
α = 90.00°, β = 90.00°, γ = 90.00°
Element x y z (fractional)
Re: 0.7500 0.0000 0.5000
Re: 0.0000 0.6478 0.6238
Re: 0.5000 0.8762 0.8522
Re: 0.5000 0.1238 0.1478
Re: 0.2500 0.0000 0.5000
Re: 0.5000 0.8522 0.1238
Re: 0.0000 0.3762 0.6478
Re: 0.0000 0.3522 0.3762
Re: 0.5000 0.1478 0.8762
Re: 0.7500 0.5000 0.0000
Re: 0.0000 0.6238 0.3522
Re: 0.2500 0.5000 0.0000
Nd: 0.0000 0.0770 0.7632
Nd: 0.5000 0.4230 0.2632
Nd: 0.5000 0.2632 0.5770
Nd: 0.0000 0.7632 0.9230
Nd: 0.0000 0.9230 0.2368
Nd: 0.0000 0.2368 0.0770
Nd: 0.5000 0.5770 0.7368
Nd: 0.5000 0.7368 0.4230
Si: 0.2500 0.3285 0.8285
Si: 0.5000 0.0252 0.6844
Si: 0.2500 0.8285 0.6715
Si: 0.5000 0.3156 0.0252
Si: 0.0000 0.8156 0.4748
Si: 0.7500 0.3285 0.8285
Si: 0.2566 0.0000 0.0000
Si: 0.2434 0.5000 0.5000
Si: 0.0000 0.5252 0.8156
Si: 0.7434 0.0000 0.0000
Si: 0.0000 0.4748 0.1844
Si: 0.7500 0.1715 0.3285
Si: 0.7566 0.5000 0.5000
Si: 0.2500 0.6715 0.1715
Si: 0.7500 0.6715 0.1715
Si: 0.7500 0.8285 0.6715
Si: 0.0000 0.1844 0.5252
Si: 0.5000 0.6844 0.9748
Si: 0.2500 0.1715 0.3285
Si: 0.5000 0.9748 0.3156

Computed properties:
ΔE_f (raw): -0.622 eV per atom
DOS(E_F): 0.469 states/eV per atom

=====

Computed, not measured: crystalline Sr3LaTa3O12 at its relaxed geometry at the PBEsol level of DFT.

a = 5.6194 Å, b = 5.6194 Å, c = 9.5835 Å
α = 72.95°, β = 72.95°, γ = 60.00°
Element x y z (fractional)
Sr: 0.7151 0.7151 0.8546
Sr: 0.8638 0.8638 0.4085
Sr: 0.2862 0.2862 0.1414
O: 0.6273 0.6273 0.6298
O: 0.1155 0.6273 0.6298
O: 0.8859 0.3707 0.3728
O: 0.7904 0.7904 0.1265
O: 0.7904 0.2926 0.1265
O: 0.7065 0.2079 0.8777
O: 0.2079 0.2079 0.8777
O: 0.6273 0.1155 0.6298
O: 0.2079 0.7065 0.8777
O: 0.3707 0.3707 0.3728
O: 0.3707 0.8859 0.3728
O: 0.2926 0.7904 0.1265
Ta: 0.5759 0.5759 0.2724
Ta: 0.9997 0.9997 0.0008
Ta: 0.4238 0.4238 0.7285
La: 0.1423 0.1423 0.5732

Computed properties:
ΔE_f (raw): -3.104 eV per atom
DOS(E_F): 0.000 states/eV per atom

=====

Computed, not measured: crystalline MnAgPO2 at its relaxed geometry at the PBEsol level of DFT.

a = 3.8779 Å, b = 3.8779 Å, c = 4.8954 Å
α = 90.00°, β = 90.00°, γ = 90.00°
Last column: magnetic moment on the atom in μB.
Element x y z (fractional)
P: 0.0000 0.0000 0.5000  -0.14
O: 0.5000 0.0000 0.0000  0.13
O: 0.0000 0.5000 0.0000  0.13
Ag: 0.0000 0.0000 0.0000  0.01
Mn: 0.5000 0.5000 0.5000  4.22

Computed properties:
ΔE_f (raw): 0.609 eV per atom
DOS(E_F): 0.984 states/eV per atom

=====

Question: Which value of DOS(E_F) does entry 8 give?
Answer: 0.469 states/eV per atom

=====

Question: Look up the DOS(E_F) of the second one.
Answer: 0.393 states/eV per atom